GGA-PBE GdDySn2, optimized geometry; total moment = 7.8 μB/cell; formation energy = -0.647 eV/atom
1.0
-1.886 -2.602 3.082
-2.801 -2.055 -3.450
3.439 -3.400 -0.767
Sn Gd Dy
2 1 1
direct
0.000 0.000 0.500
0.000 0.500 0.000
0.500 0.000 0.000
0.500 0.500 0.500

---

GGA-PBE GdDySn, optimized geometry; total moment = 7.6 μB/cell; formation energy = -0.363 eV/atom
1.0
3.782 0.000 0.000
0.000 5.155 0.000
0.000 -2.578 4.464
Gd Sn Dy
1 1 1
direct
0.380 0.333 0.667
0.683 0.667 0.333
0.936 0.000 0.000

---

GGA-PBE TbGdDySn, optimized geometry; total moment = 8.1 μB/cell; formation energy = -0.253 eV/atom
1.0
5.425 0.000 0.000
2.713 4.698 0.000
2.713 1.566 4.430
Tb Gd Sn Dy
1 1 1 1
direct
0.000 0.000 0.000
0.250 0.250 0.250
0.500 0.500 0.500
0.750 0.750 0.750